{
  "formula": "Li6AcCd12",
  "functional": "PBE-GGA",
  "state": "relaxed",
  "ef_ev_per_atom": -0.14,
  "dos_ef_per_ev_cell": 4.014,
  "energy_ev_per_atom": -1.539,
  "magmom_total_mub_per_atom": 0.000,
  "lattice_angstrom": [[6.168, 3.561, 3.104], [-6.168, 3.561, 3.104], [0.000, -7.122, 3.104]],
  "species": ["Li", "Li", "Li", "Li", "Li", "Li", "Ac", "Cd", "Cd", "Cd", "Cd", "Cd", "Cd", "Cd", "Cd", "Cd", "Cd", "Cd", "Cd"],
  "frac_coords": [[0.262, 0.262, 0.707], [0.262, 0.707, 0.262], [0.293, 0.738, 0.738], [0.707, 0.262, 0.262], [0.738, 0.293, 0.738], [0.738, 0.738, 0.293], [0.000, 0.000, 0.000], [0.118, 0.500, 0.882], [0.118, 0.882, 0.500], [0.161, 0.416, 0.416], [0.416, 0.161, 0.416], [0.416, 0.416, 0.161], [0.500, 0.118, 0.882], [0.500, 0.882, 0.118], [0.584, 0.584, 0.839], [0.584, 0.839, 0.584], [0.839, 0.584, 0.584], [0.882, 0.118, 0.500], [0.882, 0.500, 0.118]]
}